# BaP2H4O4

A geometry-optimized BaP2H4O4 structure (PBE-GGA, Alexandria).

Cell: 6.309 16.201 6.303 Å, 90.00 90.00 90.00°
Space group Ccce (No. 68, origin choice 2)
One atom of each set of equivalent atoms:
Ba 0.000 0.250 0.250
P 0.000 0.110 0.750
H 0.124 0.056 0.625
O 0.147 0.159 0.897

Results
D(E_F): 0.000 states/eV/cell
total energy: -5.69 eV per atom
calculated volume: 644 Å³/cell